First-principles (GGA-PBE) data for an optimized crystal structure of CaAc2Ti, as listed in Alexandria via LeMat-Bulk.

Cell: 13.129 13.129 13.129 Å, 15.99 15.99 15.99°
Atoms (fractional coordinates):
Ca: 0.000 0.000 0.000
Ac: 0.420 0.420 0.420
Ac: 0.580 0.580 0.580
Ti: 0.500 0.500 0.500

## Properties
symmetry	R-3m, No. 166
E_tot	-3.9066	eV per atom
formation energy	0.622	eV per atom